The following is a PBE-GGA calculation of a relaxed Nd12Ga3Ge5 crystal, from the Alexandria database.

Calculated values
DFT formation energy   -0.24 eV/atom
SG   Ia-3d (230)

abc: 15.238 15.238 15.238
angles: 109.47 109.47 109.47
Positions (direct):
1 Nd 0.049 0.220 0.129
2 Nd 0.049 0.329 0.920
3 Nd 0.080 0.629 0.408
4 Nd 0.080 0.951 0.671
5 Nd 0.092 0.720 0.671
6 Nd 0.092 0.871 0.420
7 Nd 0.129 0.049 0.220
8 Nd 0.129 0.580 0.908
9 Nd 0.171 0.220 0.592
10 Nd 0.171 0.451 0.580
11 Nd 0.220 0.129 0.049
12 Nd 0.220 0.592 0.171
13 Nd 0.280 0.329 0.908
14 Nd 0.280 0.451 0.371
15 Nd 0.329 0.908 0.280
16 Nd 0.329 0.920 0.049
17 Nd 0.371 0.280 0.451
18 Nd 0.371 0.592 0.920
19 Nd 0.408 0.080 0.629
20 Nd 0.408 0.829 0.780
21 Nd 0.420 0.092 0.871
22 Nd 0.420 0.829 0.549
23 Nd 0.451 0.371 0.280
24 Nd 0.451 0.580 0.171
25 Nd 0.549 0.420 0.829
26 Nd 0.549 0.629 0.720
27 Nd 0.580 0.171 0.451
28 Nd 0.580 0.908 0.129
29 Nd 0.592 0.171 0.220
30 Nd 0.592 0.920 0.371
31 Nd 0.629 0.408 0.080
32 Nd 0.629 0.720 0.549
33 Nd 0.671 0.080 0.951
34 Nd 0.671 0.092 0.720
35 Nd 0.720 0.549 0.629
36 Nd 0.720 0.671 0.092
37 Nd 0.780 0.408 0.829
38 Nd 0.780 0.871 0.951
39 Nd 0.829 0.549 0.420
40 Nd 0.829 0.780 0.408
41 Nd 0.871 0.420 0.092
42 Nd 0.871 0.951 0.780
43 Nd 0.908 0.129 0.580
44 Nd 0.908 0.280 0.329
45 Nd 0.920 0.049 0.329
46 Nd 0.920 0.371 0.592
47 Nd 0.951 0.671 0.080
48 Nd 0.951 0.780 0.871
49 Ga 0.125 0.250 0.375
50 Ga 0.125 0.375 0.750
51 Ga 0.250 0.375 0.125
52 Ga 0.250 0.875 0.625
53 Ga 0.375 0.125 0.250
54 Ga 0.375 0.750 0.125
55 Ga 0.625 0.250 0.875
56 Ga 0.625 0.875 0.750
57 Ga 0.750 0.125 0.375
58 Ga 0.750 0.625 0.875
59 Ga 0.875 0.625 0.250
60 Ga 0.875 0.750 0.625
61 Ge 0.000 0.000 0.000
62 Ge 0.000 0.000 0.500
63 Ge 0.000 0.500 0.000
64 Ge 0.000 0.500 0.500
65 Ge 0.125 0.750 0.875
66 Ge 0.125 0.875 0.250
67 Ge 0.250 0.125 0.875
68 Ge 0.250 0.625 0.375
69 Ge 0.375 0.250 0.625
70 Ge 0.375 0.625 0.750
71 Ge 0.500 0.000 0.000
72 Ge 0.500 0.000 0.500
73 Ge 0.500 0.500 0.000
74 Ge 0.500 0.500 0.500
75 Ge 0.625 0.375 0.250
76 Ge 0.625 0.750 0.375
77 Ge 0.750 0.375 0.625
78 Ge 0.750 0.875 0.125
79 Ge 0.875 0.125 0.750
80 Ge 0.875 0.250 0.125

---

The following is a PBE-GGA calculation of a relaxed NdGa4Ge crystal, from the Alexandria database.

Calculated values
DFT formation energy   -0.20 eV/atom
SG   F-43m (216)

abc: 5.562 5.562 5.562
angles: 60.00 60.00 60.00
Positions (direct):
1 Nd 0.000 0.000 0.000
2 Ga 0.127 0.624 0.624
3 Ga 0.624 0.127 0.624
4 Ga 0.624 0.624 0.127
5 Ga 0.624 0.624 0.624
6 Ge 0.250 0.250 0.250

---

The following is a PBE-GGA calculation of a relaxed NdGaGe crystal, from the Alexandria database.

Calculated values
DFT formation energy   -0.71 eV/atom
SG   P3m1 (156)

abc: 4.229 4.229 4.393
angles: 90.00 90.00 120.00
Positions (direct):
1 Nd 0.000 0.000 0.000
2 Ga 0.333 0.667 0.583
3 Ge 0.667 0.333 0.431

---

The following is a PBE-GGA calculation of a relaxed Nd2GaNi4Ge3 crystal, from the Alexandria database.

Calculated values
DFT formation energy   -0.68 eV/atom
SG   P-4m2 (115)

abc: 4.152 4.152 9.787
angles: 90.00 90.00 90.00
Positions (direct):
1 Nd 0.000 0.500 0.248
2 Nd 0.500 0.000 0.752
3 Ga 0.000 0.000 0.500
4 Ni 0.000 0.000 0.000
5 Ni 0.000 0.500 0.630
6 Ni 0.500 0.000 0.370
7 Ni 0.500 0.500 0.000
8 Ge 0.000 0.500 0.874
9 Ge 0.500 0.000 0.126
10 Ge 0.500 0.500 0.500

---

The following is a PBE-GGA calculation of a relaxed Nd3GaNi9Ge2 crystal, from the Alexandria database.

Calculated values
DFT formation energy   -0.20 eV/atom
SG   P-3m1 (164)

abc: 5.990 5.990 8.630
angles: 90.00 90.00 120.00
Positions (direct):
1 Nd 0.000 0.000 0.000
2 Nd 0.333 0.667 0.678
3 Nd 0.667 0.333 0.322
4 Ga 0.000 0.000 0.500
5 Ni 0.000 0.500 0.000
6 Ni 0.135 0.269 0.282
7 Ni 0.135 0.865 0.282
8 Ni 0.269 0.135 0.718
9 Ni 0.500 0.000 0.000
10 Ni 0.500 0.500 0.000
11 Ni 0.731 0.865 0.282
12 Ni 0.865 0.135 0.718
13 Ni 0.865 0.731 0.718
14 Ge 0.333 0.667 0.184
15 Ge 0.667 0.333 0.816

---

The following is a PBE-GGA calculation of a relaxed Nd2GaNi3Ge4 crystal, from the Alexandria database.

Calculated values
DFT formation energy   -0.65 eV/atom
SG   P-4m2 (115)

abc: 4.161 4.161 10.085
angles: 90.00 90.00 90.00
Positions (direct):
1 Nd 0.000 0.500 0.241
2 Nd 0.500 0.000 0.759
3 Ga 0.000 0.000 0.500
4 Ni 0.000 0.500 0.881
5 Ni 0.500 0.000 0.119
6 Ni 0.500 0.500 0.500
7 Ge 0.000 0.000 0.000
8 Ge 0.000 0.500 0.646
9 Ge 0.500 0.000 0.354
10 Ge 0.500 0.500 0.000

---

The following is a PBE-GGA calculation of a relaxed Nd2Ga3Ni4Ge crystal, from the Alexandria database.

Calculated values
DFT formation energy   -0.58 eV/atom
SG   P-4m2 (115)

abc: 4.198 4.198 9.704
angles: 90.00 90.00 90.00
Positions (direct):
1 Nd 0.000 0.500 0.249
2 Nd 0.500 0.000 0.751
3 Ga 0.000 0.500 0.875
4 Ga 0.500 0.000 0.125
5 Ga 0.500 0.500 0.500
6 Ni 0.000 0.000 0.000
7 Ni 0.000 0.500 0.627
8 Ni 0.500 0.000 0.373
9 Ni 0.500 0.500 0.000
10 Ge 0.000 0.000 0.500

---

The following is a PBE-GGA calculation of a relaxed Nd4GaGeO crystal, from the Alexandria database.

Calculated values
SG   Cmcm (63)
Formation energy (no corrections)   -1.163 eV per atom

abc: 8.759 8.759 6.689
angles: 90.00 90.00 135.05
Positions (direct):
1 Nd 0.000 0.500 0.000
2 Nd 0.000 0.500 0.500
3 Nd 0.073 0.927 0.750
4 Nd 0.427 0.573 0.750
5 Nd 0.500 0.000 0.000
6 Nd 0.500 0.000 0.500
7 Nd 0.573 0.427 0.250
8 Nd 0.927 0.073 0.250
9 Ga 0.114 0.886 0.250
10 Ga 0.886 0.114 0.750
11 Ge 0.386 0.614 0.250
12 Ge 0.614 0.386 0.750
13 O 0.253 0.747 0.750
14 O 0.747 0.253 0.250

---

The following is a PBE-GGA calculation of a relaxed NdPaGaGe crystal, from the Alexandria database.

Calculated values
DFT formation energy   -0.30 eV/atom
SG   F-43m (216)

abc: 5.127 5.127 5.127
angles: 60.00 60.00 60.00
Positions (direct):
1 Nd 0.000 0.000 0.000
2 Pa 0.500 0.500 0.500
3 Ga 0.750 0.750 0.750
4 Ge 0.250 0.250 0.250

---

The following is a PBE-GGA calculation of a relaxed Nd2GaGePd6 crystal, from the Alexandria database.

Calculated values
DFT formation energy   -0.69 eV/atom
SG   C2/m (12)

abc: 6.513 6.513 8.054
angles: 127.65 127.65 50.24
Positions (direct):
1 Nd 0.004 0.004 0.255
2 Nd 0.996 0.996 0.745
3 Ga 0.500 0.500 0.500
4 Ge 0.500 0.500 0.000
5 Pd 0.001 0.501 0.708
6 Pd 0.333 0.333 0.084
7 Pd 0.499 0.999 0.292
8 Pd 0.501 0.001 0.708
9 Pd 0.667 0.667 0.916
10 Pd 0.999 0.499 0.292

---

The following is a PBE-GGA calculation of a relaxed Nd2Ga3GePd4 crystal, from the Alexandria database.

Calculated values
DFT formation energy   -0.80 eV/atom
SG   P-4m2 (115)

abc: 4.361 4.361 10.214
angles: 90.00 90.00 90.00
Positions (direct):
1 Nd 0.000 0.500 0.245
2 Nd 0.500 0.000 0.755
3 Ga 0.000 0.000 0.000
4 Ga 0.000 0.500 0.627
5 Ga 0.500 0.000 0.373
6 Ge 0.500 0.500 0.000
7 Pd 0.000 0.000 0.500
8 Pd 0.000 0.500 0.871
9 Pd 0.500 0.000 0.129
10 Pd 0.500 0.500 0.500

---

The following is a PBE-GGA calculation of a relaxed Nd2GaGe3Pd4 crystal, from the Alexandria database.

Calculated values
DFT formation energy   -0.83 eV/atom
SG   P-4m2 (115)

abc: 4.346 4.346 10.221
angles: 90.00 90.00 90.00
Positions (direct):
1 Nd 0.000 0.500 0.248
2 Nd 0.500 0.000 0.752
3 Ga 0.500 0.500 0.000
4 Ge 0.000 0.000 0.000
5 Ge 0.000 0.500 0.629
6 Ge 0.500 0.000 0.371
7 Pd 0.000 0.000 0.500
8 Pd 0.000 0.500 0.870
9 Pd 0.500 0.000 0.130
10 Pd 0.500 0.500 0.500

---

The following is a PBE-GGA calculation of a relaxed Nd2GaGe4Pd3 crystal, from the Alexandria database.

Calculated values
DFT formation energy   -0.75 eV/atom
SG   P-4m2 (115)

abc: 4.266 4.266 10.702
angles: 90.00 90.00 90.00
Positions (direct):
1 Nd 0.000 0.500 0.246
2 Nd 0.500 0.000 0.754
3 Ga 0.000 0.000 0.500
4 Ge 0.000 0.000 0.000
5 Ge 0.000 0.500 0.641
6 Ge 0.500 0.000 0.359
7 Ge 0.500 0.500 0.000
8 Pd 0.000 0.500 0.870
9 Pd 0.500 0.000 0.130
10 Pd 0.500 0.500 0.500

---

The following is a PBE-GGA calculation of a relaxed Nd3GaGe6Pd2 crystal, from the Alexandria database.

Calculated values
DFT formation energy   -0.41 eV/atom
SG   P-3m1 (164)

abc: 5.949 5.949 8.528
angles: 90.00 90.00 120.00
Positions (direct):
1 Nd 0.000 0.000 0.000
2 Nd 0.333 0.667 0.608
3 Nd 0.667 0.333 0.392
4 Ga 0.000 0.000 0.500
5 Ge 0.187 0.374 0.269
6 Ge 0.187 0.813 0.269
7 Ge 0.374 0.187 0.731
8 Ge 0.626 0.813 0.269
9 Ge 0.813 0.187 0.731
10 Ge 0.813 0.626 0.731
11 Pd 0.333 0.667 0.015
12 Pd 0.667 0.333 0.985

---

The following is a PBE-GGA calculation of a relaxed PmNdGaGe crystal, from the Alexandria database.

Calculated values
DFT formation energy   -0.77 eV/atom
SG   Amm2 (38)

abc: 4.108 6.027 6.027
angles: 43.43 90.00 90.00
Positions (direct):
1 Pm 0.000 0.000 0.000
2 Nd 0.500 0.719 0.719
3 Ga 0.500 0.436 0.436
4 Ge 0.000 0.285 0.285

---

The following is a PBE-GGA calculation of a relaxed PmNdGaGe crystal, from the Alexandria database.

Calculated values
DFT formation energy   -0.57 eV/atom
SG   F-43m (216)

abc: 5.205 5.205 5.205
angles: 60.00 60.00 60.00
Positions (direct):
1 Pm 0.000 0.000 0.000
2 Nd 0.500 0.500 0.500
3 Ga 0.750 0.750 0.750
4 Ge 0.250 0.250 0.250

---

The following is a PBE-GGA calculation of a relaxed NdGaGePt3 crystal, from the Alexandria database.

Calculated values
DFT formation energy   -0.75 eV/atom
SG   Cmcm (63)

abc: 8.503 8.503 5.694
angles: 90.00 90.00 141.09
Positions (direct):
1 Nd 0.185 0.815 0.750
2 Nd 0.815 0.185 0.250
3 Ga 0.098 0.902 0.250
4 Ga 0.902 0.098 0.750
5 Ge 0.406 0.594 0.250
6 Ge 0.594 0.406 0.750
7 Pt 0.249 0.249 0.000
8 Pt 0.249 0.249 0.500
9 Pt 0.253 0.747 0.250
10 Pt 0.747 0.253 0.750
11 Pt 0.751 0.751 0.000
12 Pt 0.751 0.751 0.500

---

The following is a PBE-GGA calculation of a relaxed Nd2GaGe4Pt3 crystal, from the Alexandria database.

Calculated values
DFT formation energy   -0.84 eV/atom
SG   P-4m2 (115)

abc: 4.322 4.322 10.480
angles: 90.00 90.00 90.00
Positions (direct):
1 Nd 0.000 0.500 0.248
2 Nd 0.500 0.000 0.752
3 Ga 0.000 0.000 0.500
4 Ge 0.000 0.000 0.000
5 Ge 0.000 0.500 0.640
6 Ge 0.500 0.000 0.360
7 Ge 0.500 0.500 0.000
8 Pt 0.000 0.500 0.874
9 Pt 0.500 0.000 0.126
10 Pt 0.500 0.500 0.500

---

The following is a PBE-GGA calculation of a relaxed Nd2Ga4GePt3 crystal, from the Alexandria database.

Calculated values
DFT formation energy   -0.86 eV/atom
SG   P-4m2 (115)

abc: 4.371 4.371 10.317
angles: 90.00 90.00 90.00
Positions (direct):
1 Nd 0.000 0.500 0.247
2 Nd 0.500 0.000 0.753
3 Ga 0.000 0.000 0.000
4 Ga 0.000 0.500 0.637
5 Ga 0.500 0.000 0.363
6 Ga 0.500 0.500 0.000
7 Ge 0.000 0.000 0.500
8 Pt 0.000 0.500 0.874
9 Pt 0.500 0.000 0.126
10 Pt 0.500 0.500 0.500

---

The following is a PBE-GGA calculation of a relaxed Nd3GaGe2Pt9 crystal, from the Alexandria database.

Calculated values
DFT formation energy   -0.63 eV/atom
SG   P-3m1 (164)

abc: 6.479 6.479 9.164
angles: 90.00 90.00 120.00
Positions (direct):
1 Nd 0.000 0.000 0.000
2 Nd 0.333 0.667 0.724
3 Nd 0.667 0.333 0.276
4 Ga 0.000 0.000 0.500
5 Ge 0.333 0.667 0.186
6 Ge 0.667 0.333 0.814
7 Pt 0.000 0.500 0.000
8 Pt 0.139 0.278 0.284
9 Pt 0.139 0.861 0.284
10 Pt 0.278 0.139 0.716
11 Pt 0.500 0.000 0.000
12 Pt 0.500 0.500 0.000
13 Pt 0.722 0.861 0.284
14 Pt 0.861 0.139 0.716
15 Pt 0.861 0.722 0.716

---

Ordered E_tot results: -376.89, -22.72, -14.55, -56.37, -81.63, -54.92, -52.17, -79.63, -23.10, -55.20, -52.04, -55.53, -54.09, -60.30, -20.23, -19.45, -70.03, -57.57, -52.96, -90.35; unit eV per cell.